# Dy2Zn3CoCu12

A relaxed structure of Dy2Zn3CoCu12 (PBE, Alexandria).

```
18
Lattice="2.569 1.483 11.981 -2.569 1.483 11.981 0.000 -2.966 11.981" Properties=species:S:1:pos:R:3 pbc="T T T"
Dy 0.000 0.000 5.243
Dy 0.000 0.000 30.700
Zn -1.284 -0.742 11.981
Zn -1.284 0.742 23.962
Zn 0.000 1.483 11.981
Co 0.000 0.000 17.972
Cu 0.000 -1.535 9.964
Cu -1.329 0.767 9.964
Cu -1.270 -0.733 15.959
Cu -1.329 -0.767 25.979
Cu 0.000 -1.466 19.984
Cu -1.270 0.733 19.984
Cu 1.270 -0.733 15.959
Cu 0.000 1.466 15.959
Cu 1.329 0.767 9.964
Cu 1.270 0.733 19.984
Cu 1.329 -0.767 25.979
Cu 0.000 1.535 25.979
```

Values from the calculation:
Energy of formation from the pure elements in eV/atom: 0.07
Magnetic moment in μB per cell: 0.00
DOS(E_F) in states/eV/cell: 8.6
Energy in eV/atom: -3.78
Symmetry: R-3m

=====

# DyZnCoCu

A relaxed structure of DyZnCoCu (PBE, Alexandria).

```
16
Lattice="6.351 0.000 0.000 0.000 6.351 0.000 0.000 0.000 6.351" Properties=species:S:1:pos:R:3 pbc="T T T"
Dy 0.000 0.000 0.000
Dy 0.000 3.175 3.175
Dy 3.175 0.000 3.175
Dy 3.175 3.175 0.000
Zn 0.000 0.000 3.175
Zn 0.000 3.175 0.000
Zn 3.175 0.000 0.000
Zn 3.175 3.175 3.175
Co 1.588 1.588 1.588
Co 1.588 4.763 4.763
Co 4.763 1.588 4.763
Co 4.763 4.763 1.588
Cu 1.588 1.588 4.763
Cu 1.588 4.763 1.588
Cu 4.763 1.588 1.588
Cu 4.763 4.763 4.763
```

Values from the calculation:
Energy of formation from the pure elements in eV/atom: -0.07
Magnetic moment in μB per cell: 0.06
DOS(E_F) in states/eV/cell: 12.4
Energy in eV/atom: -4.34
Symmetry: F-43m

=====

# DyZrCoCu

A relaxed structure of DyZrCoCu (PBE, Alexandria).

```
16
Lattice="6.624 0.000 0.000 0.000 6.624 0.000 0.000 0.000 6.624" Properties=species:S:1:pos:R:3 pbc="T T T"
Dy 0.000 0.000 0.000
Dy 0.000 3.312 3.312
Dy 3.312 0.000 3.312
Dy 3.312 3.312 0.000
Zr 0.000 0.000 3.312
Zr 0.000 3.312 0.000
Zr 3.312 0.000 0.000
Zr 3.312 3.312 3.312
Co 1.656 1.656 1.656
Co 1.656 4.968 4.968
Co 4.968 1.656 4.968
Co 4.968 4.968 1.656
Cu 1.656 1.656 4.968
Cu 1.656 4.968 1.656
Cu 4.968 1.656 1.656
Cu 4.968 4.968 4.968
```

Values from the calculation:
Energy of formation from the pure elements in eV/atom: -0.15
Magnetic moment in μB per cell: 0.00
DOS(E_F) in states/eV/cell: 11.9
Energy in eV/atom: -6.24
Symmetry: F-43m

=====

What is the energy of formation from the pure elements in the second record?
-0.07 eV/atom

=====

Which value of DOS(E_F) does entry 3 give?
11.9 states/eV/cell